Entry 1:
Here is Cd2PCl after structural relaxation from Alexandria via LeMat-Bulk. Energies are from PBEsol. Values from VASP.

Output
Space-group type = Fm-3m
Uncorrected formation energy = 28.2 meV/atom
Relative energy among the computed polymorphs = 402 meV per atom

The structure in Quantum ESPRESSO input format:
```
&SYSTEM
  ibrav = 0, nat = 4, ntyp = 3
/
ATOMIC_SPECIES
Cd 112.41 Cd.upf
P 30.97 P.upf
Cl 35.45 Cl.upf
CELL_PARAMETERS angstrom
0.000 3.393 3.393
3.393 0.000 3.393
3.393 3.393 0.000
ATOMIC_POSITIONS angstrom
Cd 1.696 1.696 1.696
Cd 5.089 5.089 5.089
P 0.000 0.000 0.000
Cl 3.393 3.393 3.393
```

Entry 2:
Here is Cd7P4Cl6 after structural relaxation from Alexandria via LeMat-Bulk. Energies are from PBEsol. Values from VASP.

Output
Space-group type = Pa-3
Uncorrected formation energy = -610.2 meV/atom

The structure in Quantum ESPRESSO input format:
```
&SYSTEM
  ibrav = 0, nat = 68, ntyp = 3
/
ATOMIC_SPECIES
Cd 112.41 Cd.upf
P 30.97 P.upf
Cl 35.45 Cl.upf
CELL_PARAMETERS angstrom
11.878 0.000 0.000
0.000 11.878 0.000
0.000 0.000 11.878
ATOMIC_POSITIONS angstrom
Cd 0.000 0.000 0.000
Cd 0.000 5.939 5.939
Cd 0.179 2.655 8.726
Cd 0.179 3.283 2.788
Cd 2.655 8.726 0.179
Cd 2.655 9.090 6.118
Cd 2.788 0.179 3.283
Cd 2.788 5.759 9.222
Cd 3.151 6.118 3.283
Cd 3.151 11.698 9.222
Cd 3.283 2.788 0.179
Cd 3.283 3.151 6.118
Cd 5.759 8.594 8.726
Cd 5.759 9.222 2.788
Cd 5.939 0.000 5.939
Cd 5.939 5.939 0.000
Cd 6.118 2.655 9.090
Cd 6.118 3.283 3.151
Cd 8.594 8.726 5.759
Cd 8.594 9.090 11.698
Cd 8.726 0.179 2.655
Cd 8.726 5.759 8.594
Cd 9.090 6.118 2.655
Cd 9.090 11.698 8.594
Cd 9.222 2.788 5.759
Cd 9.222 3.151 11.698
Cd 11.698 8.594 9.090
Cd 11.698 9.222 3.151
P 2.163 8.102 9.714
P 2.163 9.714 3.775
P 2.519 2.519 2.519
P 2.519 3.420 8.457
P 3.420 8.457 2.519
P 3.420 9.359 8.457
P 3.775 2.163 9.714
P 3.775 3.775 3.775
P 8.102 8.102 8.102
P 8.102 9.714 2.163
P 8.457 2.519 3.420
P 8.457 3.420 9.359
P 9.359 8.457 3.420
P 9.359 9.359 9.359
P 9.714 2.163 8.102
P 9.714 3.775 2.163
Cl 0.237 2.603 11.439
Cl 0.237 3.336 5.500
Cl 0.439 6.176 3.336
Cl 0.439 11.640 9.275
Cl 2.603 6.378 6.176
Cl 2.603 11.439 0.237
Cl 3.336 0.439 6.176
Cl 3.336 5.500 0.237
Cl 5.500 0.237 3.336
Cl 5.500 5.702 9.275
Cl 5.702 8.541 11.439
Cl 5.702 9.275 5.500
Cl 6.176 2.603 6.378
Cl 6.176 3.336 0.439
Cl 6.378 6.176 2.603
Cl 6.378 11.640 8.541
Cl 8.541 6.378 11.640
Cl 8.541 11.439 5.702
Cl 9.275 0.439 11.640
Cl 9.275 5.500 5.702
Cl 11.439 0.237 2.603
Cl 11.439 5.702 8.541
Cl 11.640 8.541 6.378
Cl 11.640 9.275 0.439
```

Entry 3:
Here is Cd4P2Cl3 after structural relaxation from Alexandria via LeMat-Bulk. Energies are from PBEsol. Values from VASP.

Output
Space-group type = Pa-3
Uncorrected formation energy = -563.2 meV/atom

The structure in Quantum ESPRESSO input format:
```
&SYSTEM
  ibrav = 0, nat = 72, ntyp = 3
/
ATOMIC_SPECIES
Cd 112.41 Cd.upf
P 30.97 P.upf
Cl 35.45 Cl.upf
CELL_PARAMETERS angstrom
12.101 0.000 0.000
0.000 12.101 0.000
0.000 0.000 12.101
ATOMIC_POSITIONS angstrom
Cd 0.177 3.009 6.372
Cd 0.177 3.041 0.322
Cd 0.322 0.177 3.041
Cd 0.322 5.873 9.092
Cd 2.684 8.735 9.417
Cd 2.684 9.417 3.366
Cd 3.009 6.372 0.177
Cd 3.009 11.779 6.228
Cd 3.041 0.322 0.177
Cd 3.041 5.729 6.228
Cd 3.366 2.684 9.417
Cd 3.366 3.366 3.366
Cd 5.729 6.228 3.041
Cd 5.729 11.923 9.092
Cd 5.873 9.060 6.372
Cd 5.873 9.092 0.322
Cd 6.228 3.009 11.779
Cd 6.228 3.041 5.729
Cd 6.372 0.177 3.009
Cd 6.372 5.873 9.060
Cd 8.735 8.735 8.735
Cd 8.735 9.417 2.684
Cd 9.060 6.372 5.873
Cd 9.060 11.779 11.923
Cd 9.092 0.322 5.873
Cd 9.092 5.729 11.923
Cd 9.417 2.684 8.735
Cd 9.417 3.366 2.684
Cd 11.779 6.228 3.009
Cd 11.779 11.923 9.060
Cd 11.923 9.060 11.779
Cd 11.923 9.092 5.729
P 0.626 0.626 0.626
P 0.626 5.425 6.676
P 1.260 7.310 10.841
P 1.260 10.841 4.791
P 4.791 1.260 10.841
P 4.791 4.791 4.791
P 5.425 6.676 0.626
P 5.425 11.475 6.676
P 6.676 0.626 5.425
P 6.676 5.425 11.475
P 7.310 7.310 7.310
P 7.310 10.841 1.260
P 10.841 1.260 7.310
P 10.841 4.791 1.260
P 11.475 6.676 5.425
P 11.475 11.475 11.475
Cl 0.851 2.809 3.793
Cl 0.851 3.242 9.843
Cl 2.257 6.901 2.809
Cl 2.257 11.250 8.859
Cl 2.809 2.257 6.901
Cl 2.809 3.793 0.851
Cl 3.242 8.308 6.901
Cl 3.242 9.843 0.851
Cl 3.793 0.851 2.809
Cl 3.793 5.200 8.859
Cl 5.200 8.859 3.793
Cl 5.200 9.292 9.843
Cl 6.901 2.809 2.257
Cl 6.901 3.242 8.308
Cl 8.308 6.901 3.242
Cl 8.308 11.250 9.292
Cl 8.859 2.257 11.250
Cl 8.859 3.793 5.200
Cl 9.292 8.308 11.250
Cl 9.292 9.843 5.200
Cl 9.843 0.851 3.242
Cl 9.843 5.200 9.292
Cl 11.250 8.859 2.257
Cl 11.250 9.292 8.308
```